The following is a DFT calculation (PBE-GGA) of a geometry-optimized ZrBe2Ru structure.

Fermi-level density of states: 0.9 states/eV per cell
Calculated formation energy: -22 kJ/mol of formula units
SG: No. 119

Lattice parameters (Å, degrees): 4.6961 4.6961 4.6961 132.72 132.72 69.09
With the nearest neighbours (Å) after each atom.
Fractional positions:
Be  0.2500  0.7500  0.5000  4 Zr 2.66, 4 Ru 2.70, 4 Be 2.70
Be  0.0000  0.0000  0.0000  4 Ru 2.66, 4 Zr 2.70, 4 Be 2.70
Ru  0.5000  0.5000  0.0000  8 Be 2.66-2.70, 4 Zr 2.70
Zr  0.7500  0.2500  0.5000  8 Be 2.66-2.70, 4 Ru 2.70

The following is a DFT calculation (PBE-GGA) of a geometry-optimized MgCu2W structure.

Fermi-level density of states: 1.8 states/eV per cell
Calculated formation energy: 81 kJ/mol of formula units
SG: No. 99

Lattice parameters (Å, degrees): 2.7580 2.7580 7.6526 90.00 90.00 89.99
With the nearest neighbours (Å) after each atom.
Fractional positions:
Mg  0.0000  0.0000  0.4815  4 Cu 2.76, 4 Mg 2.76, 4 W 2.97
Cu  0.0000  0.0000  0.0178  8 Cu 2.52-2.76, 4 W 2.70
Cu  0.5000  0.5000  0.2272  8 Cu 2.52-2.76, 4 Mg 2.76
W  0.5000  0.5000  0.7735  4 Cu 2.70, 4 W 2.76, 4 Mg 2.97

The following is a DFT calculation (PBE-GGA) of a geometry-optimized Rb6HAu3 structure.

Fermi-level density of states: 13.3 states/eV per cell
SG: No. 14
E: -2.069 eV/atom

Lattice parameters (Å, degrees): 8.0098 9.1565 11.7465 90.00 91.37 90.00
With the nearest neighbours (Å) after each atom.
Fractional positions:
H  0.5000  0.5000  0.5000  6 Rb 2.94-3.18
Rb  0.6866  0.1679  0.0601  1 H 3.04
Au  0.5465  0.8888  0.2450  6 Rb 3.48-3.70
Rb  0.3134  0.8321  0.9399  1 H 3.04
Au  0.9535  0.3888  0.2550  6 Rb 3.48-3.70
Au  0.0465  0.6112  0.7450  6 Rb 3.48-3.70
Au  0.5000  0.5000  0.0000  6 Rb 3.38-3.45
Rb  0.8486  0.6925  0.0695  1 H 3.18, 1 Au 3.39
Rb  0.1359  0.0449  0.2324  1 H 2.94
Rb  0.1866  0.3321  0.5601  1 H 3.04
Au  0.0000  0.0000  0.5000  6 Rb 3.38-3.45
Rb  0.1514  0.3075  0.9305  1 H 3.18, 1 Au 3.39
Rb  0.8641  0.9551  0.7676  1 H 2.94
Rb  0.8134  0.6679  0.4399  1 H 3.04
Rb  0.3486  0.8075  0.5695  1 H 3.18, 1 Au 3.39
Rb  0.6514  0.1925  0.4305  1 H 3.18, 1 Au 3.39
Au  0.4535  0.1112  0.7550  6 Rb 3.48-3.70
H  0.0000  0.0000  0.0000  6 Rb 2.94-3.18
Rb  0.6359  0.4551  0.7324  1 H 2.94
Rb  0.3641  0.5449  0.2676  1 H 2.94

The following is a DFT calculation (PBE-GGA) of a geometry-optimized ZnSO4 structure.

Fermi-level density of states: 0.0 states/eV per cell
ΔE_f (raw): -32.14 kcal/mol of atoms
SG: No. 62

Lattice parameters (Å, degrees): 4.8426 6.8276 8.6982 90.00 90.00 90.00
With the nearest neighbours (Å) after each atom.
Fractional positions:
Zn  0.0000  0.0000  0.0000  4 O 1.99-2.15
O  0.9535  0.7500  0.8521  1 S 1.52
O  0.7604  0.2500  0.8758  1 S 1.49
S  0.5323  0.7500  0.1777  4 O 1.48-1.52
O  0.2604  0.7500  0.6242  1 S 1.49
O  0.6697  0.9311  0.1253  1 S 1.48
O  0.3303  0.0689  0.8747  1 S 1.48
Zn  0.0000  0.5000  0.0000  4 O 1.99-2.15
O  0.4535  0.2500  0.6479  1 S 1.52
S  0.9677  0.7500  0.6777  4 O 1.48-1.52
O  0.8303  0.9311  0.6253  1 S 1.48
O  0.1697  0.0689  0.3747  1 S 1.48
O  0.5465  0.7500  0.3521  1 S 1.52
O  0.1697  0.4311  0.3747  1 S 1.48
O  0.6697  0.5689  0.1253  1 S 1.48
O  0.8303  0.5689  0.6253  1 S 1.48
S  0.4677  0.2500  0.8223  4 O 1.48-1.52
S  0.0323  0.2500  0.3223  4 O 1.48-1.52
Zn  0.5000  0.0000  0.5000  4 O 1.99-2.15
O  0.7396  0.2500  0.3758  1 S 1.49
O  0.2396  0.7500  0.1242  1 S 1.49
O  0.0465  0.2500  0.1479  1 S 1.52
O  0.3303  0.4311  0.8747  1 S 1.48
Zn  0.5000  0.5000  0.5000  4 O 1.99-2.15

The following is a DFT calculation (PBE-GGA) of a geometry-optimized Li6PmGe2 structure.

Fermi-level density of states: 6.6 states/eV per cell
Calculated formation energy: -261 kJ/mol of formula units
SG: No. 123

Lattice parameters (Å, degrees): 4.2799 4.2799 9.4695 90.00 90.00 90.00
With the nearest neighbours (Å) after each atom.
Fractional positions:
Li  0.0000  0.0000  0.5000  12 Li 2.97-3.03
Pm  0.0000  0.0000  0.0000  8 Ge 3.27, 8 Li 3.43
Li  0.5000  0.0000  0.2828  2 Ge 2.57
Li  0.5000  0.5000  0.5000  12 Li 2.97-3.03
Li  0.5000  0.0000  0.7172  2 Ge 2.57
Li  0.0000  0.5000  0.2828  2 Ge 2.57
Li  0.0000  0.5000  0.7172  2 Ge 2.57
Ge  0.5000  0.5000  0.1316  1 Ge 2.49, 4 Li 2.57
Ge  0.5000  0.5000  0.8684  1 Ge 2.49, 4 Li 2.57

The following is a DFT calculation (PBE-GGA) of a geometry-optimized Si23F structure.

Fermi-level density of states: 14.7 states/eV per cell
ΔE_f (raw): -0.19 kcal/mol of atoms
SG: No. 223

Lattice parameters (Å, degrees): 10.1955 10.1955 10.1955 90.00 90.00 90.00
With the nearest neighbours (Å) after each atom.
Fractional positions:
F  0.0000  0.0000  0.0000  20 Si 3.22-3.36
Si  0.0000  0.3081  0.1165  4 Si 2.36-2.38
Si  0.6165  0.1919  0.5000  4 Si 2.36-2.38
Si  0.0000  0.6919  0.1165  4 Si 2.36-2.38
Si  0.8081  0.5000  0.6165  4 Si 2.36-2.38
Si  0.0000  0.6919  0.8835  4 Si 2.36-2.38
Si  0.1825  0.8175  0.1825  4 Si 2.36-2.38
Si  0.3835  0.8081  0.5000  4 Si 2.36-2.38
Si  0.0000  0.5000  0.7500  4 Si 2.38
Si  0.8175  0.8175  0.8175  4 Si 2.36-2.38
Si  0.1165  0.0000  0.6919  4 Si 2.36-2.38
Si  0.6165  0.8081  0.5000  4 Si 2.36-2.38
Si  0.1825  0.1825  0.8175  4 Si 2.36-2.38
Si  0.8175  0.1825  0.1825  4 Si 2.36-2.38
Si  0.8835  0.0000  0.3081  4 Si 2.36-2.38
Si  0.6825  0.6825  0.3175  4 Si 2.36-2.38
Si  0.8081  0.5000  0.3835  4 Si 2.36-2.38
Si  0.6919  0.8835  0.0000  4 Si 2.36-2.38
F  0.5000  0.5000  0.5000  20 Si 3.22-3.36
Si  0.1165  0.0000  0.3081  4 Si 2.36-2.38
Si  0.5000  0.7500  0.0000  4 Si 2.38
Si  0.5000  0.3835  0.8081  4 Si 2.36-2.38
Si  0.5000  0.6165  0.1919  4 Si 2.36-2.38
Si  0.3175  0.3175  0.6825  4 Si 2.36-2.38
Si  0.5000  0.6165  0.8081  4 Si 2.36-2.38
Si  0.8835  0.0000  0.6919  4 Si 2.36-2.38
Si  0.3175  0.6825  0.3175  4 Si 2.36-2.38
Si  0.1825  0.1825  0.1825  4 Si 2.36-2.38
Si  0.7500  0.0000  0.5000  4 Si 2.38
Si  0.6919  0.1165  0.0000  4 Si 2.36-2.38
Si  0.1919  0.5000  0.3835  4 Si 2.36-2.38
Si  0.1825  0.8175  0.8175  4 Si 2.36-2.38
Si  0.2500  0.0000  0.5000  4 Si 2.38
Si  0.3835  0.1919  0.5000  4 Si 2.36-2.38
Si  0.0000  0.5000  0.2500  4 Si 2.38
Si  0.3081  0.1165  0.0000  4 Si 2.36-2.38
Si  0.6825  0.3175  0.3175  4 Si 2.36-2.38
Si  0.6825  0.6825  0.6825  4 Si 2.36-2.38
Si  0.3175  0.6825  0.6825  4 Si 2.36-2.38
Si  0.3175  0.3175  0.3175  4 Si 2.36-2.38
Si  0.8175  0.1825  0.8175  4 Si 2.36-2.38
Si  0.0000  0.3081  0.8835  4 Si 2.36-2.38
Si  0.8175  0.8175  0.1825  4 Si 2.36-2.38
Si  0.5000  0.2500  0.0000  4 Si 2.38
Si  0.3081  0.8835  0.0000  4 Si 2.36-2.38
Si  0.5000  0.3835  0.1919  4 Si 2.36-2.38
Si  0.1919  0.5000  0.6165  4 Si 2.36-2.38
Si  0.6825  0.3175  0.6825  4 Si 2.36-2.38

Q: The lowest Fermi-level density of states belongs to which entry?
A: ZnSO4

Q: Which of these has the lowest Fermi-level density of states?
A: ZnSO4

Q: The highest Fermi-level density of states belongs to which entry?
A: Si23F

What did the first record say?
The following is a DFT calculation (PBE-GGA) of a geometry-optimized ZrBe2Ru structure.

Fermi-level density of states: 0.9 states/eV per cell
Calculated formation energy: -22 kJ/mol of formula units
SG: No. 119

Lattice parameters (Å, degrees): 4.6961 4.6961 4.6961 132.72 132.72 69.09
With the nearest neighbours (Å) after each atom.
Fractional positions:
Be  0.2500  0.7500  0.5000  4 Zr 2.66, 4 Ru 2.70, 4 Be 2.70
Be  0.0000  0.0000  0.0000  4 Ru 2.66, 4 Zr 2.70, 4 Be 2.70
Ru  0.5000  0.5000  0.0000  8 Be 2.66-2.70, 4 Zr 2.70
Zr  0.7500  0.2500  0.5000  8 Be 2.66-2.70, 4 Ru 2.70